(1)
Entry from Alexandria via LeMat-Bulk: a crystal of Hf2Al3Ni relaxed with PBEsol (meta-GGA SCAN).

Summary:
**SG**: No. 166
**Formation energy**: -0.574 eV/atom

a = 5.053 Å, b = 5.053 Å, c = 5.053 Å
α = 61.98°, β = 61.98°, γ = 61.98°
Atoms (fractional coordinates):
Hf  0.127  0.127  0.127
Hf  0.873  0.873  0.873
Al  0.000  0.500  0.500
Al  0.500  0.000  0.500
Al  0.500  0.500  0.000
Ni  0.500  0.500  0.500

***

(2)
Entry from Alexandria via LeMat-Bulk: a crystal of CdAg2Cl relaxed with PBEsol (meta-GGA SCAN).

Summary:
**Distance to the lowest polymorph of the same formula**: 0 meV per atom
**Formation energy without anion corrections**: -0.213 eV per atom
**SG**: No. 6

a = 3.167 Å, b = 3.184 Å, c = 7.757 Å
α = 90.00°, β = 90.39°, γ = 90.00°
Atoms (fractional coordinates):
Cd  0.000  0.000  0.000
Ag  0.009  0.000  0.451
Ag  0.505  0.500  0.227
Cl  0.004  0.500  0.722

***

(3)
Entry from Alexandria via LeMat-Bulk: a crystal of ReMo5 relaxed with PBEsol (meta-GGA SCAN).

Summary:
**Distance to the lowest polymorph of the same formula**: 0 meV per atom
**SG**: No. 65
**Formation energy**: -0.003 eV/atom

a = 5.171 Å, b = 5.171 Å, c = 4.409 Å
α = 90.00°, β = 90.00°, γ = 129.50°
Atoms (fractional coordinates):
Re  0.000  0.000  0.000
Mo  0.167  0.833  0.500
Mo  0.334  0.666  0.000
Mo  0.500  0.500  0.500
Mo  0.666  0.334  0.000
Mo  0.833  0.167  0.500

***

(4)
Entry from Alexandria via LeMat-Bulk: a crystal of Be3GeRu relaxed with PBEsol (meta-GGA SCAN).

Summary:
**SG**: No. 221
**Formation energy**: 0.584 eV/atom

a = 4.163 Å, b = 4.163 Å, c = 4.163 Å
α = 90.00°, β = 90.00°, γ = 90.00°
Atoms (fractional coordinates):
Be  0.000  0.000  0.500
Be  0.000  0.500  0.000
Be  0.500  0.000  0.000
Ge  0.500  0.500  0.500
Ru  0.000  0.000  0.000